[1]
Computed, not measured: a relaxed TaPd2Pt2 crystal at the PBE-GGA level of DFT.

```
TaPd2Pt2
1.0
2.040 -7.109 0.000
2.040 7.109 0.000
0.000 0.000 5.522
Ta Pd Pt
2 4 4
direct
0.110 0.890 0.500
0.890 0.110 0.000
0.310 0.690 0.263
0.499 0.501 0.248
0.501 0.499 0.748
0.690 0.310 0.763
0.088 0.912 0.000
0.313 0.687 0.751
0.687 0.313 0.251
0.912 0.088 0.500
```

Values from the calculation:
formation energy	-2.40	eV per formula unit

***

[2]
Computed, not measured: a relaxed TaPd3Pt3 crystal at the PBE-GGA level of DFT.

```
TaPd3Pt3
1.0
10.119 0.000 0.000
-5.060 8.763 0.000
0.000 0.000 2.766
Ta Pd Pt
2 6 6
direct
0.333 0.667 0.250
0.667 0.333 0.750
0.095 0.630 0.750
0.370 0.464 0.750
0.464 0.095 0.250
0.536 0.905 0.750
0.630 0.536 0.250
0.905 0.370 0.250
0.071 0.261 0.750
0.189 0.929 0.750
0.261 0.189 0.250
0.739 0.811 0.750
0.811 0.071 0.250
0.929 0.739 0.250
```

Values from the calculation:
formation energy	0.60	eV per formula unit

***

[3]
Computed, not measured: a relaxed Ta2Pd3Pt4 crystal at the PBE-GGA level of DFT.

```
Ta2Pd3Pt4
1.0
4.462 -1.985 0.000
4.462 1.985 0.000
-2.634 0.000 8.002
Ta Pd Pt
2 3 4
direct
0.169 0.169 0.227
0.831 0.831 0.773
0.168 0.168 0.556
0.500 0.500 0.000
0.832 0.832 0.444
0.167 0.167 0.891
0.499 0.499 0.672
0.501 0.501 0.328
0.833 0.833 0.109
```

Values from the calculation:
formation energy	-5.38	eV per formula unit